VASP calculation (PBE) on an optimized crystal structure of Sm2AlO4.

Cell lengths 9.2033, 9.2033, 9.2033 Å; angles 90.00, 90.00, 90.00 degrees
Space group Fd-3m (No. 227, origin choice 2)
One atom of each set of equivalent atoms:
Sm1 0.0000 0.0000 0.0000 x16
Al1 0.1250 0.1250 0.6250 x8
O1 0.0115 0.0115 0.7385 x32

Crystal system   cubic
Total DFT energy (no corrections)   -7.67 eV/atom